No. 1
Material: DyErMgS4
Method: DFT, PBE
State: relaxed

Magnetization (Bohr magnetons per cell): 0.0
Formation energy (no corrections) (meV per atom): -1893
Final energy (eV/cell): -81.045

a = 7.8645 Å, b = 7.8761 Å, c = 7.8761 Å
α = 60.07°, β = 60.05°, γ = 60.05°
Fractional positions:
1 S 0.2460 0.7651 0.7429
2 Dy 0.0000 0.0000 0.0000
3 S 0.7540 0.2349 0.2571
4 S 0.2355 0.7560 0.2560
5 Mg 0.6251 0.6249 0.1249
6 S 0.2475 0.2440 0.7440
7 Er 0.5000 0.0000 0.5000
8 S 0.7525 0.7560 0.2560
9 Mg 0.3749 0.3751 0.8751
10 Dy 0.0000 0.5000 0.5000
11 Er 0.0000 0.0000 0.5000
12 S 0.2460 0.2429 0.2651
13 S 0.7645 0.2440 0.7440
14 S 0.7540 0.7571 0.7349

---

No. 2
Material: Dy3Er3MgS8
Method: DFT, PBE
State: relaxed

Magnetization (Bohr magnetons per cell): 0.0
Formation energy (no corrections) (meV per atom): -1969
Final energy (eV/cell): -91.640

a = 7.7254 Å, b = 7.7255 Å, c = 7.7433 Å
α = 119.92°, β = 90.00°, γ = 120.00°
Fractional positions:
1 S 0.2418 0.4837 0.7395
2 Mg 0.0000 0.0000 0.5000
3 Er 0.5000 0.0000 0.5000
4 Dy 0.0000 0.0000 0.0000
5 S 0.2512 0.5025 0.2537
6 S 0.2442 0.0024 0.2605
7 S 0.7488 0.4975 0.7463
8 S 0.7558 0.9976 0.7395
9 S 0.2419 0.9976 0.7395
10 Er 0.0000 0.5000 0.5000
11 Dy 0.5000 0.5000 0.0000
12 Dy 0.0000 0.5000 0.0000
13 S 0.7581 0.0024 0.2605
14 S 0.7582 0.5163 0.2605
15 Er 0.5000 0.5000 0.5000

---

No. 3
Material: Dy2Er4MgSc
Method: DFT, PBE
State: relaxed

Magnetization (Bohr magnetons per cell): 0.0
E_form (eV per atom): 0.03
Final energy (eV/cell): -35.116

a = 4.8973 Å, b = 4.8993 Å, c = 10.8808 Å
α = 63.21°, β = 90.00°, γ = 90.00°
Fractional positions:
1 Dy 0.0000 0.0000 0.0000
2 Er 0.5000 0.7452 0.2538
3 Er 0.0000 0.2457 0.2538
4 Er 0.0000 0.7543 0.7462
5 Er 0.5000 0.2548 0.7462
6 Sc 0.0000 0.5000 0.5000
7 Mg 0.5000 0.5000 0.0000
8 Dy 0.5000 0.0000 0.5000

---

No. 4
Material: Dy2Er6MgSc3
Method: DFT, PBE
State: relaxed

Magnetization (Bohr magnetons per cell): 0.0
E_form (eV per atom): 0.04
Final energy (eV/cell): -56.632

a = 5.9583 Å, b = 5.9583 Å, c = 11.3119 Å
α = 95.07°, β = 95.07°, γ = 120.01°
Fractional positions:
1 Er 0.7518 0.7518 0.2582
2 Sc 0.8343 0.1657 0.5000
3 Sc 0.1657 0.8343 0.5000
4 Er 0.9146 0.5812 0.7421
5 Er 0.2482 0.2482 0.7418
6 Dy 0.6665 0.3335 0.0000
7 Dy 0.3335 0.6665 0.0000
8 Mg 0.0000 0.0000 0.0000
9 Er 0.0854 0.4188 0.2579
10 Er 0.4188 0.0854 0.2579
11 Er 0.5812 0.9146 0.7421
12 Sc 0.5000 0.5000 0.5000